Record 1
A relaxed structure of PmBe4Pb3O12, computed with PBE.

## Properties
- ΔE_f (raw): -1.751 eV/atom
- Space group: R32

Lattice parameters (Å, degrees): 6.606 6.606 6.606 104.34 104.34 104.34
Atoms (fractional coordinates):
1 Pm 0.000 0.000 0.000
2 Be 0.945 0.055 0.500
3 Be 0.055 0.500 0.945
4 Be 0.500 0.945 0.055
5 Be 0.500 0.500 0.500
6 Pb 0.547 0.453 0.000
7 Pb 0.453 0.000 0.547
8 Pb 0.000 0.547 0.453
9 O 0.500 0.353 0.647
10 O 0.907 0.500 0.093
11 O 0.093 0.907 0.500
12 O 0.500 0.093 0.907
13 O 0.350 0.971 0.200
14 O 0.200 0.350 0.971
15 O 0.971 0.200 0.350
16 O 0.650 0.800 0.029
17 O 0.029 0.650 0.800
18 O 0.800 0.029 0.650
19 O 0.647 0.500 0.353
20 O 0.353 0.647 0.500

---

Record 2
A relaxed structure of AcInCu2, computed with PBE.

## Properties
- Raw total energy: -3.73 eV/atom
- Space group: P4/mmm

Lattice parameters (Å, degrees): 3.602 3.602 6.961 90.00 90.00 90.00
Atoms (fractional coordinates):
1 Ac 0.500 0.500 0.500
2 Cu 0.000 0.000 0.803
3 Cu 0.000 0.000 0.197
4 In 0.500 0.500 0.000

---

Record 3
A relaxed structure of CsMgTa, computed with PBE.

## Properties
- Space group: Pnma
- Relative energy among the computed polymorphs: 0.3673 eV/atom

Lattice parameters (Å, degrees): 14.196 5.307 5.536 90.00 90.00 90.00
Atoms (fractional coordinates):
1 Cs 0.750 0.250 0.242
2 Cs 0.750 0.750 0.742
3 Cs 0.250 0.750 0.758
4 Cs 0.250 0.250 0.258
5 Mg 0.000 0.000 0.000
6 Mg 0.500 0.500 0.500
7 Mg 0.500 0.000 0.500
8 Mg 0.000 0.500 0.000
9 Ta 0.500 0.250 0.999
10 Ta 0.000 0.750 0.499
11 Ta 0.500 0.750 0.001
12 Ta 0.000 0.250 0.501

---

Record 4
A relaxed structure of BeAgAs2O6, computed with PBE.

## Properties
- ΔE_f (raw): -1.225 eV/atom
- Space group: C2/c

Lattice parameters (Å, degrees): 6.098 7.513 7.513 89.20 66.98 66.98
Atoms (fractional coordinates):
1 Be 0.250 0.200 0.800
2 Be 0.750 0.800 0.200
3 Ag 0.250 0.848 0.152
4 Ag 0.750 0.152 0.848
5 As 0.405 0.787 0.618
6 As 0.095 0.382 0.213
7 As 0.595 0.213 0.382
8 As 0.905 0.618 0.787
9 O 0.190 0.005 0.783
10 O 0.310 0.217 0.995
11 O 0.810 0.995 0.217
12 O 0.690 0.783 0.005
13 O 0.470 0.831 0.380
14 O 0.030 0.620 0.169
15 O 0.530 0.169 0.620
16 O 0.970 0.380 0.831
17 O 0.226 0.637 0.673
18 O 0.274 0.327 0.363
19 O 0.774 0.363 0.327
20 O 0.726 0.673 0.637

---

Record 5
A relaxed structure of Tb2Pm3NdS6, computed with PBE.

## Properties
- ΔE_f (raw): -2.027 eV/atom
- Space group: C2/m

Lattice parameters (Å, degrees): 6.939 6.939 6.938 99.57 99.57 120.16
Atoms (fractional coordinates):
1 Tb 0.334 0.666 0.000
2 Tb 0.666 0.334 0.000
3 Pm 0.163 0.837 0.500
4 Pm 0.837 0.163 0.500
5 Pm 0.500 0.500 0.500
6 Nd 0.000 0.000 0.000
7 S 0.918 0.577 0.755
8 S 0.740 0.740 0.242
9 S 0.082 0.423 0.245
10 S 0.577 0.918 0.755
11 S 0.260 0.260 0.758
12 S 0.423 0.082 0.245

---

Record 6
A relaxed structure of SmCO3, computed with PBE.

## Properties
- ΔE_f (raw): -1.997 eV/atom
- Space group: P-1

Lattice parameters (Å, degrees): 6.082 4.135 4.990 89.88 89.89 106.47
Atoms (fractional coordinates):
1 Sm 0.789 0.162 0.751
2 Sm 0.211 0.838 0.249
3 C 0.777 0.809 0.251
4 C 0.223 0.191 0.749
5 O 0.185 0.335 0.981
6 O 0.815 0.665 0.019
7 O 0.382 0.023 0.751
8 O 0.618 0.977 0.249
9 O 0.187 0.335 0.516
10 O 0.813 0.665 0.484

---

Record 7
A relaxed structure of LaSm3Ir, computed with PBE.

## Properties
- Space group: Pm-3m
- Relative energy among the computed polymorphs: 0.0618 eV/atom

Lattice parameters (Å, degrees): 5.582 5.582 5.582 90.00 90.00 90.00
Atoms (fractional coordinates):
1 Ir 0.000 0.000 0.000
2 Sm 0.000 0.500 0.000
3 Sm 0.000 0.000 0.500
4 Sm 0.500 0.000 0.000
5 La 0.500 0.500 0.500

---

Record 8
A relaxed structure of Cs2Rb3Cd2Hg4, computed with PBE.

## Properties
- Raw total energy: -0.81 eV/atom
- Space group: I4/mmm

Lattice parameters (Å, degrees): 5.962 5.962 15.101 101.38 101.38 90.00
Atoms (fractional coordinates):
1 Cs 0.321 0.321 0.641
2 Cs 0.679 0.679 0.359
3 Rb 0.000 0.000 0.000
4 Rb 0.155 0.155 0.310
5 Rb 0.845 0.845 0.690
6 Cd 0.450 0.450 0.899
7 Cd 0.550 0.550 0.101
8 Hg 0.417 0.917 0.835
9 Hg 0.917 0.417 0.835
10 Hg 0.083 0.583 0.165
11 Hg 0.583 0.083 0.165